No. 1
Entry from the Alexandria database: a relaxed SrCaIn2Rh crystal (PBE).

## Properties
The formation energy is -0.3705 eV/atom. Its crystal system is tetragonal.

Cell lengths 5.284, 5.284, 5.257 Å; angles 90.00, 90.00, 90.00 degrees
Fractional positions:
Sr 0.000 0.000 0.000
Ca 0.500 0.500 0.000
In 0.000 0.500 0.500
In 0.500 0.000 0.500
Rh 0.500 0.500 0.500


No. 2
Entry from the Alexandria database: a relaxed CaIn2TeRh crystal (PBE).

## Properties
The calculation puts the raw formation energy at -0.3094 eV per atom. Its crystal system is tetragonal.

Cell lengths 5.042, 5.042, 5.791 Å; angles 90.00, 90.00, 90.00 degrees
Fractional positions:
Ca 0.000 0.000 0.000
In 0.000 0.500 0.500
In 0.500 0.000 0.500
Te 0.500 0.500 0.000
Rh 0.500 0.500 0.500


No. 3
Entry from the Alexandria database: a relaxed Ca2InTeRh crystal (PBE).

## Properties
The calculation puts the raw formation energy at -0.6442 eV per atom. Its crystal system is tetragonal.

Cell lengths 5.410, 5.410, 5.102 Å; angles 90.00, 90.00, 90.00 degrees
Fractional positions:
Ca 0.000 0.500 0.000
Ca 0.500 0.000 0.000
In 0.000 0.000 0.500
Te 0.500 0.500 0.500
Rh 0.000 0.000 0.000


No. 4
Entry from the Alexandria database: a relaxed CaTiIn2Rh crystal (PBE).

## Properties
The formation energy is 0.9967 eV/atom. Its crystal system is tetragonal.

Cell lengths 5.278, 5.278, 5.136 Å; angles 90.00, 90.00, 90.00 degrees
Fractional positions:
Ca 0.000 0.000 0.000
Ti 0.000 0.000 0.500
In 0.000 0.500 0.500
In 0.500 0.000 0.500
Rh 0.500 0.500 0.000


No. 5
Entry from the Alexandria database: a relaxed CaTlIn2Rh crystal (PBE).

## Properties
The formation energy is -0.2703 eV/atom. Its crystal system is tetragonal.

Cell lengths 5.189, 5.189, 5.363 Å; angles 90.00, 90.00, 90.00 degrees
Fractional positions:
Ca 0.000 0.000 0.000
Tl 0.500 0.500 0.000
In 0.000 0.500 0.500
In 0.500 0.000 0.500
Rh 0.000 0.000 0.500


No. 6
Entry from the Alexandria database: a relaxed CaTlInRh2 crystal (PBE).

## Properties
The formation energy is 0.9727 eV/atom. Its crystal system is tetragonal.

Cell lengths 4.888, 4.888, 5.627 Å; angles 90.00, 90.00, 90.00 degrees
Fractional positions:
Ca 0.000 0.000 0.000
Tl 0.500 0.500 0.500
In 0.000 0.000 0.500
Rh 0.000 0.500 0.000
Rh 0.500 0.000 0.000


No. 7
Entry from the Alexandria database: a relaxed Ca2TlIn2Rh5 crystal (PBE).

## Properties
The formation energy is -0.2497 eV/atom. Its crystal system is tetragonal.

Cell lengths 10.147, 10.147, 3.800 Å; angles 90.00, 90.00, 90.00 degrees
Fractional positions:
Ca 0.171 0.329 0.000
Ca 0.329 0.829 0.000
Ca 0.671 0.171 0.000
Ca 0.829 0.671 0.000
Tl 0.000 0.000 0.000
Tl 0.500 0.500 0.000
In 0.129 0.629 0.000
In 0.371 0.129 0.000
In 0.629 0.871 0.000
In 0.871 0.371 0.000
Rh 0.000 0.500 0.500
Rh 0.061 0.802 0.500
Rh 0.198 0.061 0.500
Rh 0.302 0.561 0.500
Rh 0.439 0.302 0.500
Rh 0.500 0.000 0.500
Rh 0.561 0.698 0.500
Rh 0.698 0.439 0.500
Rh 0.802 0.939 0.500
Rh 0.939 0.198 0.500


No. 8
Entry from the Alexandria database: a relaxed CaTmInRh crystal (PBE).

## Properties
The formation energy is -0.4432 eV/atom. Its crystal system is cubic.

Cell lengths 5.065, 5.065, 5.065 Å; angles 60.00, 60.00, 60.00 degrees
Fractional positions:
Ca 0.000 0.000 0.000
Tm 0.500 0.500 0.500
In 0.750 0.750 0.750
Rh 0.250 0.250 0.250


No. 9
Entry from the Alexandria database: a relaxed CaY2InRh crystal (PBE).

## Properties
The formation energy is 0.6776 eV/atom. Its crystal system is tetragonal.

Cell lengths 5.629, 5.629, 5.580 Å; angles 90.00, 90.00, 90.00 degrees
Fractional positions:
Ca 0.000 0.000 0.000
Y 0.000 0.500 0.500
Y 0.500 0.000 0.500
In 0.000 0.000 0.500
Rh 0.500 0.500 0.000


No. 10
Entry from the Alexandria database: a relaxed CaZnIn2Rh crystal (PBE).

## Properties
The formation energy is -0.2362 eV/atom. The calculation puts the energy above the most stable polymorph in this dataset at 0 meV per atom. Its crystal system is tetragonal.

Cell lengths 5.100, 5.100, 4.904 Å; angles 90.00, 90.00, 90.00 degrees
Fractional positions:
Ca 0.000 0.000 0.000
Zn 0.500 0.500 0.000
In 0.000 0.500 0.500
In 0.500 0.000 0.500
Rh 0.500 0.500 0.500


No. 11
Entry from the Alexandria database: a relaxed CaZn2InRh crystal (PBE).

## Properties
The formation energy is -0.2247 eV/atom. Its crystal system is tetragonal.

Cell lengths 4.852, 4.852, 5.050 Å; angles 90.00, 90.00, 90.00 degrees
Fractional positions:
Ca 0.000 0.000 0.000
Zn 0.000 0.500 0.500
Zn 0.500 0.000 0.500
In 0.500 0.500 0.000
Rh 0.500 0.500 0.500


No. 12
Entry from the Alexandria database: a relaxed CaZnIn2Rh crystal (PBE).

## Properties
The formation energy is -0.1543 eV/atom. The calculation puts the energy above the most stable polymorph in this dataset at 82 meV per atom. Its crystal system is tetragonal.

Cell lengths 5.156, 5.156, 5.342 Å; angles 90.00, 90.00, 90.00 degrees
Fractional positions:
Ca 0.000 0.000 0.000
Zn 0.500 0.500 0.000
In 0.000 0.500 0.500
In 0.500 0.000 0.500
Rh 0.000 0.000 0.500


No. 13
Entry from the Alexandria database: a relaxed Ca4InRu crystal (PBE).

## Properties
The formation energy is 0.6945 eV/atom. The calculation puts the energy above the most stable polymorph in this dataset at 847 meV per atom. Its crystal system is cubic.

Cell lengths 6.150, 6.150, 6.150 Å; angles 60.00, 60.00, 60.00 degrees
Fractional positions:
Ca 0.376 0.376 0.376
Ca 0.376 0.376 0.872
Ca 0.376 0.872 0.376
Ca 0.872 0.376 0.376
In 0.000 0.000 0.000
Ru 0.750 0.750 0.750


No. 14
Entry from the Alexandria database: a relaxed CaIn2Ru crystal (PBE).

## Properties
The formation energy is -0.0592 eV/atom. Its crystal system is cubic.

Cell lengths 4.883, 4.883, 4.883 Å; angles 60.00, 60.00, 60.00 degrees
Fractional positions:
Ca 0.000 0.000 0.000
In 0.250 0.250 0.250
In 0.750 0.750 0.750
Ru 0.500 0.500 0.500


No. 15
Entry from the Alexandria database: a relaxed CaIn2Ru crystal (PBE).

## Properties
The formation energy is 0.0436 eV/atom. Its crystal system is monoclinic.

Cell lengths 3.644, 4.530, 5.837 Å; angles 90.00, 108.19, 90.00 degrees
Fractional positions:
Ca 0.000 0.000 0.000
In 0.274 0.000 0.550
In 0.667 0.500 0.336
Ru 0.404 0.500 0.804


No. 16
Entry from the Alexandria database: a relaxed CaInRu2 crystal (PBE).

## Properties
The formation energy is 0.4723 eV/atom. Its crystal system is orthorhombic.

Cell lengths 2.992, 2.992, 8.843 Å; angles 90.00, 90.00, 111.43 degrees
Fractional positions:
Ca 0.000 0.000 0.000
In 0.000 0.000 0.500
Ru 0.500 0.500 0.262
Ru 0.500 0.500 0.738


No. 17
Entry from the Alexandria database: a relaxed CaInRu2 crystal (PBE).

## Properties
The formation energy is 0.3068 eV/atom. Its crystal system is tetragonal.

Cell lengths 4.713, 4.713, 4.713 Å; angles 120.09, 120.09, 89.84 degrees
Fractional positions:
Ca 0.000 0.000 0.000
In 0.250 0.750 0.500
Ru 0.500 0.500 0.000
Ru 0.750 0.250 0.500


No. 18
Entry from the Alexandria database: a relaxed CaInRu2 crystal (PBE).

## Properties
The formation energy is 0.0530 eV/atom. Its crystal system is tetragonal.

Cell lengths 2.980, 2.980, 8.530 Å; angles 90.00, 90.00, 90.00 degrees
Fractional positions:
Ca 0.000 0.000 0.000
In 0.500 0.500 0.319
Ru 0.000 0.000 0.558
Ru 0.500 0.500 0.736


No. 19
Entry from the Alexandria database: a relaxed CaInRu2 crystal (PBE).

## Properties
The formation energy is 0.4005 eV/atom. Its crystal system is orthorhombic.

Cell lengths 5.365, 5.365, 5.365 Å; angles 143.62, 124.67, 68.04 degrees
Fractional positions:
Ca 0.000 0.000 0.000
In 0.500 0.500 0.000
Ru 0.260 0.760 0.500
Ru 0.740 0.240 0.500


No. 20
Entry from the Alexandria database: a relaxed CaInRu2 crystal (PBE).

## Properties
The formation energy is 0.1610 eV/atom. Its crystal system is orthorhombic.

Cell lengths 5.787, 5.787, 5.787 Å; angles 148.82, 131.86, 58.47 degrees
Fractional positions:
Ca 0.000 0.000 0.000
In 0.283 0.783 0.500
Ru 0.523 0.523 0.000
Ru 0.732 0.232 0.500


No. 21
Entry from the Alexandria database: a relaxed CaInRu2 crystal (PBE).

## Properties
The formation energy is 0.1944 eV/atom. Its crystal system is orthorhombic.

Cell lengths 4.397, 5.734, 5.734 Å; angles 32.42, 90.00, 90.00 degrees
Fractional positions:
Ca 0.000 0.000 0.000
In 0.500 0.662 0.662
Ru 0.000 0.272 0.272
Ru 0.500 0.376 0.376


No. 22
Entry from the Alexandria database: a relaxed CaIn2Ru crystal (PBE).

## Properties
The formation energy is -0.0637 eV/atom. Its crystal system is monoclinic.

Cell lengths 5.253, 5.253, 5.293 Å; angles 107.41, 107.41, 40.34 degrees
Fractional positions:
Ca 0.000 0.000 0.000
In 0.223 0.223 0.696
In 0.777 0.777 0.304
Ru 0.500 0.500 0.500


No. 23
Entry from the Alexandria database: a relaxed CaInRu4 crystal (PBE).

## Properties
The formation energy is 0.1786 eV/atom. Its crystal system is cubic.

Cell lengths 5.276, 5.276, 5.276 Å; angles 60.00, 60.00, 60.00 degrees
Fractional positions:
Ca 0.000 0.000 0.000
In 0.750 0.750 0.750
Ru 0.376 0.376 0.376
Ru 0.376 0.376 0.873
Ru 0.376 0.873 0.376
Ru 0.873 0.376 0.376


No. 24
Entry from the Alexandria database: a relaxed Ca2In2Ru crystal (PBE).

## Properties
The formation energy is -0.0422 eV/atom. The calculation puts the energy above the most stable polymorph in this dataset at 0 meV per atom. Its crystal system is tetragonal.

Cell lengths 7.167, 7.167, 5.028 Å; angles 90.00, 90.00, 90.00 degrees
Fractional positions:
Ca 0.178 0.322 0.000
Ca 0.322 0.822 0.000
Ca 0.678 0.178 0.000
Ca 0.822 0.678 0.000
In 0.145 0.645 0.500
In 0.355 0.145 0.500
In 0.645 0.855 0.500
In 0.855 0.355 0.500
Ru 0.000 0.000 0.500
Ru 0.500 0.500 0.500


No. 25
Entry from the Alexandria database: a relaxed CaInRu3 crystal (PBE).

## Properties
The formation energy is 1.9357 eV/atom. The calculation puts the energy above the most stable polymorph in this dataset at 525 meV per atom. Its crystal system is cubic.

Cell lengths 4.757, 4.757, 4.757 Å; angles 90.00, 90.00, 90.00 degrees
Fractional positions:
Ca 0.000 0.000 0.000
In 0.500 0.500 0.500
Ru 0.000 0.000 0.500
Ru 0.000 0.500 0.000
Ru 0.500 0.000 0.000


No. 26
Entry from the Alexandria database: a relaxed CaIn2Ru crystal (PBE).

## Properties
The formation energy is 0.1324 eV/atom. Its crystal system is cubic.

Cell lengths 4.923, 4.923, 4.923 Å; angles 60.00, 60.00, 60.00 degrees
Fractional positions:
Ca 0.000 0.000 0.000
In 0.500 0.500 0.500
In 0.750 0.750 0.750
Ru 0.250 0.250 0.250


No. 27
Entry from the Alexandria database: a relaxed CaInRu2 crystal (PBE).

## Properties
The formation energy is 0.3746 eV/atom. Its crystal system is monoclinic.

Cell lengths 2.957, 4.555, 5.723 Å; angles 90.00, 96.89, 90.00 degrees
Fractional positions:
Ca 0.000 0.000 0.000
In 0.500 0.000 0.500
Ru 0.266 0.500 0.704
Ru 0.734 0.500 0.296


No. 28
Entry from the Alexandria database: a relaxed CaIn2Ru crystal (PBE).

## Properties
The formation energy is -0.0547 eV/atom. Its crystal system is monoclinic.

Cell lengths 5.287, 5.287, 6.402 Å; angles 123.32, 123.32, 40.03 degrees
Fractional positions:
Ca 0.000 0.000 0.000
In 0.161 0.161 0.675
In 0.387 0.387 0.304
Ru 0.742 0.742 0.442


| no. | total DFT energy (no corrections) (eV/atom) | M_tot (μB/cell) |
| --- | --- | --- |
| 1 | -3.673 | 0.00 |
| 2 | -3.904 | 0.00 |
| 3 | -4.091 | 0.00 |
| 4 | -3.548 | 3.26 |
| 5 | -3.710 | 0.00 |
| 6 | -3.389 | 0.00 |
| 7 | -5.110 | 0.00 |
| 8 | -4.584 | 0.00 |
| 9 | -4.326 | 0.00 |
| 10 | -3.457 | 0.00 |
| 11 | -3.153 | 0.00 |
| 12 | -3.375 | 0.00 |
| 13 | -2.642 | 0.00 |
| 14 | -4.248 | 0.00 |
| 15 | -4.145 | 0.00 |
| 16 | -5.351 | 0.00 |
| 17 | -5.516 | 1.99 |
| 18 | -5.770 | 0.00 |
| 19 | -5.422 | 0.00 |
| 20 | -5.662 | 0.38 |
| 21 | -5.628 | 0.00 |
| 22 | -4.252 | 0.00 |
| 23 | -6.795 | 1.51 |
| 24 | -3.793 | 0.00 |
| 25 | -4.578 | 4.77 |
| 26 | -4.056 | 0.00 |
| 27 | -5.448 | 0.00 |
| 28 | -4.243 | 0.00 |